<a>
# BeNbPb, relaxed, DFT PBE
data_BeNbPb
_cell_length_a 6.396
_cell_length_b 6.396
_cell_length_c 6.396
_cell_angle_alpha 90.00
_cell_angle_beta 90.00
_cell_angle_gamma 90.00
_symmetry_space_group_name_H-M 'F -4 3 m'
_symmetry_Int_Tables_number 216
_symmetry_space_group_name_Hall 'F -4 2 3'
loop_
_atom_site_label
_atom_site_type_symbol
_atom_site_fract_x
_atom_site_fract_y
_atom_site_fract_z
Be1 Be 0.000 0.000 0.000
Nb1 Nb 0.000 0.000 0.500
Pb1 Pb 0.250 0.250 0.250
# Crystal system: cubic

<b>
# BeNbPb, relaxed, DFT PBE
data_BeNbPb
_cell_length_a 6.409
_cell_length_b 6.409
_cell_length_c 6.409
_cell_angle_alpha 90.00
_cell_angle_beta 90.00
_cell_angle_gamma 90.00
_symmetry_space_group_name_H-M 'F -4 3 m'
_symmetry_Int_Tables_number 216
_symmetry_space_group_name_Hall 'F -4 2 3'
loop_
_atom_site_label
_atom_site_type_symbol
_atom_site_fract_x
_atom_site_fract_y
_atom_site_fract_z
Be1 Be 0.000 0.000 0.000
Nb1 Nb 0.250 0.250 0.250
Pb1 Pb 0.000 0.000 0.500
# Crystal system: cubic

Taking the most stable structure as the zero point, the relative energies in kJ/mol of atoms are <a> 11.3; <b> 0.0.

<a>
# PmBeNb, relaxed, DFT PBE
data_PmBeNb
_cell_length_a 6.317
_cell_length_b 6.317
_cell_length_c 6.317
_cell_angle_alpha 90.00
_cell_angle_beta 90.00
_cell_angle_gamma 90.00
_symmetry_space_group_name_H-M 'F -4 3 m'
_symmetry_Int_Tables_number 216
_symmetry_space_group_name_Hall 'F -4 2 3'
loop_
_atom_site_label
_atom_site_type_symbol
_atom_site_fract_x
_atom_site_fract_y
_atom_site_fract_z
Pm1 Pm 0.000 0.000 0.000
Be1 Be 0.250 0.250 0.750
Nb1 Nb 0.000 0.000 0.500
# Crystal system: cubic

<b>
# PmBeNb, relaxed, DFT PBE
data_PmBeNb
_cell_length_a 6.611
_cell_length_b 6.611
_cell_length_c 6.611
_cell_angle_alpha 90.00
_cell_angle_beta 90.00
_cell_angle_gamma 90.00
_symmetry_space_group_name_H-M 'F -4 3 m'
_symmetry_Int_Tables_number 216
_symmetry_space_group_name_Hall 'F -4 2 3'
loop_
_atom_site_label
_atom_site_type_symbol
_atom_site_fract_x
_atom_site_fract_y
_atom_site_fract_z
Pm1 Pm 0.000 0.000 0.000
Be1 Be 0.250 0.250 0.750
Nb1 Nb 0.250 0.250 0.250
# Crystal system: cubic

Taking the most stable structure as the zero point, the relative energies in kJ/mol of atoms are <a> 0.0; <b> 87.0.

<a>
# BeNbPt, relaxed, DFT PBE
data_BeNbPt
_cell_length_a 5.945
_cell_length_b 5.945
_cell_length_c 5.945
_cell_angle_alpha 90.00
_cell_angle_beta 90.00
_cell_angle_gamma 90.00
_symmetry_space_group_name_H-M 'F -4 3 m'
_symmetry_Int_Tables_number 216
_symmetry_space_group_name_Hall 'F -4 2 3'
loop_
_atom_site_label
_atom_site_type_symbol
_atom_site_fract_x
_atom_site_fract_y
_atom_site_fract_z
Be1 Be 0.000 0.000 0.000
Nb1 Nb 0.250 0.250 0.750
Pt1 Pt 0.000 0.000 0.500
# Crystal system: cubic

<b>
# BeNbPt, relaxed, DFT PBE
data_BeNbPt
_cell_length_a 5.897
_cell_length_b 5.897
_cell_length_c 5.897
_cell_angle_alpha 90.00
_cell_angle_beta 90.00
_cell_angle_gamma 90.00
_symmetry_space_group_name_H-M 'F -4 3 m'
_symmetry_Int_Tables_number 216
_symmetry_space_group_name_Hall 'F -4 2 3'
loop_
_atom_site_label
_atom_site_type_symbol
_atom_site_fract_x
_atom_site_fract_y
_atom_site_fract_z
Be1 Be 0.000 0.000 0.000
Nb1 Nb 0.000 0.000 0.500
Pt1 Pt 0.250 0.250 0.250
# Crystal system: cubic

<c>
# BeNbPt, relaxed, DFT PBE
data_BeNbPt
_cell_length_a 6.417
_cell_length_b 3.563
_cell_length_c 7.234
_cell_angle_alpha 90.00
_cell_angle_beta 90.00
_cell_angle_gamma 90.00
_symmetry_space_group_name_H-M 'P n m a'
_symmetry_Int_Tables_number 62
loop_
_symmetry_equiv_pos_as_xyz
'x,y,z'
'-x,-y,-z'
'-x+1/2,-y,z+1/2'
'x+1/2,y,-z+1/2'
'x+1/2,-y+1/2,-z+1/2'
'-x+1/2,y+1/2,z+1/2'
'-x,y+1/2,-z'
'x,-y+1/2,z'
loop_
_atom_site_label
_atom_site_type_symbol
_atom_site_fract_x
_atom_site_fract_y
_atom_site_fract_z
Be1 Be 0.224 0.250 0.127
Nb1 Nb 0.020 0.750 0.333
Pt1 Pt 0.151 0.750 0.932
# Crystal system: orthorhombic

Taking the most stable structure as the zero point, the relative energies in kJ/mol of atoms are <a> 89.0; <b> 43.3; <c> 0.0.

<a>
# BeNbPt2, relaxed, DFT PBE
data_BeNbPt2
_cell_length_a 6.199
_cell_length_b 6.199
_cell_length_c 6.199
_cell_angle_alpha 90.00
_cell_angle_beta 90.00
_cell_angle_gamma 90.00
_symmetry_space_group_name_H-M 'F -4 3 m'
_symmetry_Int_Tables_number 216
_symmetry_space_group_name_Hall 'F -4 2 3'
loop_
_atom_site_label
_atom_site_type_symbol
_atom_site_fract_x
_atom_site_fract_y
_atom_site_fract_z
Be1 Be 0.000 0.000 0.000
Nb1 Nb 0.250 0.250 0.250
Pt1 Pt 0.000 0.000 0.500
Pt2 Pt 0.250 0.250 0.750
# Crystal system: cubic

<b>
# BeNbPt2, relaxed, DFT PBE
data_BeNbPt2
_cell_length_a 2.815
_cell_length_b 2.815
_cell_length_c 7.039
_cell_angle_alpha 90.00
_cell_angle_beta 90.00
_cell_angle_gamma 90.00
_symmetry_space_group_name_H-M 'P 4/m m m'
_symmetry_Int_Tables_number 123
_symmetry_space_group_name_Hall '-P 4 2'
loop_
_atom_site_label
_atom_site_type_symbol
_atom_site_fract_x
_atom_site_fract_y
_atom_site_fract_z
Be1 Be 0.000 0.000 0.000
Nb1 Nb 0.000 0.000 0.500
Pt1 Pt 0.500 0.500 0.206
# Crystal system: tetragonal

Taking the most stable structure as the zero point, the relative energies in kJ/mol of atoms are <a> 43.7; <b> 0.0.

<a>
# PuBeNb, relaxed, DFT PBE
data_PuBeNb
_cell_length_a 5.939
_cell_length_b 5.939
_cell_length_c 5.939
_cell_angle_alpha 90.00
_cell_angle_beta 90.00
_cell_angle_gamma 90.00
_symmetry_space_group_name_H-M 'F -4 3 m'
_symmetry_Int_Tables_number 216
_symmetry_space_group_name_Hall 'F -4 2 3'
loop_
_atom_site_label
_atom_site_type_symbol
_atom_site_fract_x
_atom_site_fract_y
_atom_site_fract_z
Pu1 Pu 0.000 0.000 0.000
Be1 Be 0.250 0.250 0.750
Nb1 Nb 0.000 0.000 0.500
# Crystal system: cubic

<b>
# PuBeNb, relaxed, DFT PBE
data_PuBeNb
_cell_length_a 6.148
_cell_length_b 6.148
_cell_length_c 6.148
_cell_angle_alpha 90.00
_cell_angle_beta 90.00
_cell_angle_gamma 90.00
_symmetry_space_group_name_H-M 'F -4 3 m'
_symmetry_Int_Tables_number 216
_symmetry_space_group_name_Hall 'F -4 2 3'
loop_
_atom_site_label
_atom_site_type_symbol
_atom_site_fract_x
_atom_site_fract_y
_atom_site_fract_z
Pu1 Pu 0.000 0.000 0.000
Be1 Be 0.250 0.250 0.750
Nb1 Nb 0.250 0.250 0.250
# Crystal system: cubic

Taking the most stable structure as the zero point, the relative energies in kJ/mol of atoms are <a> 0.0; <b> 59.4.

<a>
# RbBeNb, relaxed, DFT PBE
data_RbBeNb
_cell_length_a 7.028
_cell_length_b 7.028
_cell_length_c 7.028
_cell_angle_alpha 90.00
_cell_angle_beta 90.00
_cell_angle_gamma 90.00
_symmetry_space_group_name_H-M 'F -4 3 m'
_symmetry_Int_Tables_number 216
_symmetry_space_group_name_Hall 'F -4 2 3'
loop_
_atom_site_label
_atom_site_type_symbol
_atom_site_fract_x
_atom_site_fract_y
_atom_site_fract_z
Rb1 Rb 0.000 0.000 0.000
Be1 Be 0.250 0.250 0.750
Nb1 Nb 0.000 0.000 0.500
# Crystal system: cubic

<b>
# RbBeNb, relaxed, DFT PBE
data_RbBeNb
_cell_length_a 7.024
_cell_length_b 7.024
_cell_length_c 7.024
_cell_angle_alpha 90.00
_cell_angle_beta 90.00
_cell_angle_gamma 90.00
_symmetry_space_group_name_H-M 'F -4 3 m'
_symmetry_Int_Tables_number 216
_symmetry_space_group_name_Hall 'F -4 2 3'
loop_
_atom_site_label
_atom_site_type_symbol
_atom_site_fract_x
_atom_site_fract_y
_atom_site_fract_z
Rb1 Rb 0.000 0.000 0.000
Be1 Be 0.000 0.000 0.500
Nb1 Nb 0.250 0.250 0.750
# Crystal system: cubic

Taking the most stable structure as the zero point, the relative energies in kJ/mol of atoms are <a> 0.0; <b> 15.0.

<a>
# BeNbReSn, relaxed, DFT PBE
data_BeNbReSn
_cell_length_a 6.322
_cell_length_b 6.322
_cell_length_c 6.322
_cell_angle_alpha 90.00
_cell_angle_beta 90.00
_cell_angle_gamma 90.00
_symmetry_space_group_name_H-M 'F -4 3 m'
_symmetry_Int_Tables_number 216
_symmetry_space_group_name_Hall 'F -4 2 3'
loop_
_atom_site_label
_atom_site_type_symbol
_atom_site_fract_x
_atom_site_fract_y
_atom_site_fract_z
Be1 Be 0.000 0.000 0.000
Nb1 Nb 0.250 0.250 0.750
Re1 Re 0.250 0.250 0.250
Sn1 Sn 0.000 0.000 0.500
# Crystal system: cubic

<b>
# BeNbReSn, relaxed, DFT PBE
data_BeNbReSn
_cell_length_a 6.332
_cell_length_b 6.332
_cell_length_c 6.332
_cell_angle_alpha 90.00
_cell_angle_beta 90.00
_cell_angle_gamma 90.00
_symmetry_space_group_name_H-M 'F -4 3 m'
_symmetry_Int_Tables_number 216
_symmetry_space_group_name_Hall 'F -4 2 3'
loop_
_atom_site_label
_atom_site_type_symbol
_atom_site_fract_x
_atom_site_fract_y
_atom_site_fract_z
Be1 Be 0.000 0.000 0.000
Nb1 Nb 0.250 0.250 0.250
Re1 Re 0.000 0.000 0.500
Sn1 Sn 0.250 0.250 0.750
# Crystal system: cubic

Taking the most stable structure as the zero point, the relative energies in kJ/mol of atoms are <a> 24.6; <b> 0.0.

<a>
# BeNbSb, relaxed, DFT PBE
data_BeNbSb
_cell_length_a 6.290
_cell_length_b 6.290
_cell_length_c 6.290
_cell_angle_alpha 90.00
_cell_angle_beta 90.00
_cell_angle_gamma 90.00
_symmetry_space_group_name_H-M 'F -4 3 m'
_symmetry_Int_Tables_number 216
_symmetry_space_group_name_Hall 'F -4 2 3'
loop_
_atom_site_label
_atom_site_type_symbol
_atom_site_fract_x
_atom_site_fract_y
_atom_site_fract_z
Be1 Be 0.000 0.000 0.000
Nb1 Nb 0.250 0.250 0.750
Sb1 Sb 0.000 0.000 0.500
# Crystal system: cubic

<b>
# BeNbSb, relaxed, DFT PBE
data_BeNbSb
_cell_length_a 5.973
_cell_length_b 5.973
_cell_length_c 5.973
_cell_angle_alpha 90.00
_cell_angle_beta 90.00
_cell_angle_gamma 90.00
_symmetry_space_group_name_H-M 'F -4 3 m'
_symmetry_Int_Tables_number 216
_symmetry_space_group_name_Hall 'F -4 2 3'
loop_
_atom_site_label
_atom_site_type_symbol
_atom_site_fract_x
_atom_site_fract_y
_atom_site_fract_z
Be1 Be 0.000 0.000 0.000
Nb1 Nb 0.250 0.250 0.750
Sb1 Sb 0.250 0.250 0.250
# Crystal system: cubic

Taking the most stable structure as the zero point, the relative energies in kJ/mol of atoms are <a> 21.3; <b> 0.0.

<a>
# BeNbSbW, relaxed, DFT PBE
data_BeNbSbW
_cell_length_a 6.386
_cell_length_b 6.386
_cell_length_c 6.386
_cell_angle_alpha 90.00
_cell_angle_beta 90.00
_cell_angle_gamma 90.00
_symmetry_space_group_name_H-M 'F -4 3 m'
_symmetry_Int_Tables_number 216
_symmetry_space_group_name_Hall 'F -4 2 3'
loop_
_atom_site_label
_atom_site_type_symbol
_atom_site_fract_x
_atom_site_fract_y
_atom_site_fract_z
Be1 Be 0.000 0.000 0.000
Nb1 Nb 0.250 0.250 0.750
Sb1 Sb 0.000 0.000 0.500
W1 W 0.250 0.250 0.250
# Crystal system: cubic

<b>
# BeNbSbW, relaxed, DFT PBE
data_BeNbSbW
_cell_length_a 6.397
_cell_length_b 6.397
_cell_length_c 6.397
_cell_angle_alpha 90.00
_cell_angle_beta 90.00
_cell_angle_gamma 90.00
_symmetry_space_group_name_H-M 'F -4 3 m'
_symmetry_Int_Tables_number 216
_symmetry_space_group_name_Hall 'F -4 2 3'
loop_
_atom_site_label
_atom_site_type_symbol
_atom_site_fract_x
_atom_site_fract_y
_atom_site_fract_z
Be1 Be 0.000 0.000 0.000
Nb1 Nb 0.250 0.250 0.250
Sb1 Sb 0.250 0.250 0.750
W1 W 0.000 0.000 0.500
# Crystal system: cubic

Taking the most stable structure as the zero point, the relative energies in kJ/mol of atoms are <a> 7.2; <b> 0.0.

<a>
# BeNbTcSn, relaxed, DFT PBE
data_BeNbTcSn
_cell_length_a 6.305
_cell_length_b 6.305
_cell_length_c 6.305
_cell_angle_alpha 90.00
_cell_angle_beta 90.00
_cell_angle_gamma 90.00
_symmetry_space_group_name_H-M 'F -4 3 m'
_symmetry_Int_Tables_number 216
_symmetry_space_group_name_Hall 'F -4 2 3'
loop_
_atom_site_label
_atom_site_type_symbol
_atom_site_fract_x
_atom_site_fract_y
_atom_site_fract_z
Be1 Be 0.000 0.000 0.000
Nb1 Nb 0.250 0.250 0.250
Tc1 Tc 0.000 0.000 0.500
Sn1 Sn 0.250 0.250 0.750
# Crystal system: cubic

<b>
# BeNbTcSn, relaxed, DFT PBE
data_BeNbTcSn
_cell_length_a 6.324
_cell_length_b 6.324
_cell_length_c 6.324
_cell_angle_alpha 90.00
_cell_angle_beta 90.00
_cell_angle_gamma 90.00
_symmetry_space_group_name_H-M 'F -4 3 m'
_symmetry_Int_Tables_number 216
_symmetry_space_group_name_Hall 'F -4 2 3'
loop_
_atom_site_label
_atom_site_type_symbol
_atom_site_fract_x
_atom_site_fract_y
_atom_site_fract_z
Be1 Be 0.000 0.000 0.000
Nb1 Nb 0.250 0.250 0.750
Tc1 Tc 0.250 0.250 0.250
Sn1 Sn 0.000 0.000 0.500
# Crystal system: cubic

Taking the most stable structure as the zero point, the relative energies in kJ/mol of atoms are <a> 0.0; <b> 23.3.

<a>
# TaBeNbTe, relaxed, DFT PBE
data_TaBeNbTe
_cell_length_a 6.512
_cell_length_b 6.512
_cell_length_c 6.512
_cell_angle_alpha 90.00
_cell_angle_beta 90.00
_cell_angle_gamma 90.00
_symmetry_space_group_name_H-M 'F -4 3 m'
_symmetry_Int_Tables_number 216
_symmetry_space_group_name_Hall 'F -4 2 3'
loop_
_atom_site_label
_atom_site_type_symbol
_atom_site_fract_x
_atom_site_fract_y
_atom_site_fract_z
Ta1 Ta 0.000 0.000 0.000
Be1 Be 0.250 0.250 0.250
Nb1 Nb 0.250 0.250 0.750
Te1 Te 0.000 0.000 0.500
# Crystal system: cubic

<b>
# TaBeNbTe, relaxed, DFT PBE
data_TaBeNbTe
_cell_length_a 6.485
_cell_length_b 6.485
_cell_length_c 6.485
_cell_angle_alpha 90.00
_cell_angle_beta 90.00
_cell_angle_gamma 90.00
_symmetry_space_group_name_H-M 'F -4 3 m'
_symmetry_Int_Tables_number 216
_symmetry_space_group_name_Hall 'F -4 2 3'
loop_
_atom_site_label
_atom_site_type_symbol
_atom_site_fract_x
_atom_site_fract_y
_atom_site_fract_z
Ta1 Ta 0.000 0.000 0.000
Be1 Be 0.250 0.250 0.250
Nb1 Nb 0.000 0.000 0.500
Te1 Te 0.250 0.250 0.750
# Crystal system: cubic

Taking the most stable structure as the zero point, the relative energies in kJ/mol of atoms are <a> 12.2; <b> 0.0.

<a>
# BeNbZn, relaxed, DFT PBE
data_BeNbZn
_cell_length_a 5.581
_cell_length_b 5.581
_cell_length_c 5.581
_cell_angle_alpha 90.00
_cell_angle_beta 90.00
_cell_angle_gamma 90.00
_symmetry_space_group_name_H-M 'F -4 3 m'
_symmetry_Int_Tables_number 216
_symmetry_space_group_name_Hall 'F -4 2 3'
loop_
_atom_site_label
_atom_site_type_symbol
_atom_site_fract_x
_atom_site_fract_y
_atom_site_fract_z
Be1 Be 0.000 0.000 0.000
Nb1 Nb 0.250 0.250 0.750
Zn1 Zn 0.250 0.250 0.250
# Crystal system: cubic

<b>
# BeNbZn, relaxed, DFT PBE
data_BeNbZn
_cell_length_a 5.881
_cell_length_b 5.881
_cell_length_c 5.881
_cell_angle_alpha 90.00
_cell_angle_beta 90.00
_cell_angle_gamma 90.00
_symmetry_space_group_name_H-M 'F -4 3 m'
_symmetry_Int_Tables_number 216
_symmetry_space_group_name_Hall 'F -4 2 3'
loop_
_atom_site_label
_atom_site_type_symbol
_atom_site_fract_x
_atom_site_fract_y
_atom_site_fract_z
Be1 Be 0.000 0.000 0.000
Nb1 Nb 0.250 0.250 0.250
Zn1 Zn 0.000 0.000 0.500
# Crystal system: cubic

Taking the most stable structure as the zero point, the relative energies in kJ/mol of atoms are <a> 0.0; <b> 59.7.